1.
Below is an optimized crystal structure of Tb3Y2Cu3, with properties calculated at the PBE-GGA level.

POSCAR file:
```
Tb3Y2Cu3
1.0
-1.779 2.563 10.487
1.779 -2.563 10.487
1.779 2.563 -10.487
Tb Y Cu
3 2 3
direct
0.000 0.000 0.000
0.384 0.884 0.500
0.616 0.116 0.500
0.225 0.225 0.000
0.775 0.775 0.000
0.114 0.614 0.500
0.500 0.500 0.000
0.886 0.386 0.500
```

Calculated values
* M_tot: 0.00 Bohr magnetons per cell
* crystal system: orthorhombic
* total energy: -5.03 eV/atom

=====

2.
Below is an optimized crystal structure of Li3SF, with properties calculated at the PBE-GGA level.

POSCAR file:
```
Li3SF
1.0
4.858 0.000 0.000
-0.287 5.416 0.000
-0.352 -2.696 4.700
Li S F
6 2 2
direct
0.195 0.333 0.171
0.254 0.337 0.667
0.303 0.829 0.664
0.697 0.171 0.336
0.746 0.663 0.333
0.805 0.667 0.829
0.251 0.832 0.168
0.749 0.168 0.832
0.000 0.500 0.500
0.500 0.500 0.500
```

Calculated values
* energy relative to the elements, uncorrected: -1.838 eV per atom
* M_tot: 0.00 Bohr magnetons per cell
* energy above the most stable polymorph in this dataset: 78 meV per atom
* crystal system: triclinic

=====

3.
Below is an optimized crystal structure of SrMg2, with properties calculated at the PBE-GGA level.

POSCAR file:
```
SrMg2
1.0
3.775 0.000 0.000
-1.888 3.270 0.000
0.000 0.000 16.272
Sr Mg
2 4
direct
0.333 0.667 0.110
0.667 0.333 0.890
0.333 0.667 0.430
0.333 0.667 0.713
0.667 0.333 0.287
0.667 0.333 0.570
```

Calculated values
* M_tot: 0.00 Bohr magnetons per cell
* crystal system: trigonal
* total energy: -1.46 eV/atom

=====

4.
Below is an optimized crystal structure of LiLaC3, with properties calculated at the PBE-GGA level.

POSCAR file:
```
LiLaC3
1.0
3.935 0.000 0.000
0.000 3.935 0.000
0.000 0.000 3.935
Li La C
1 1 3
direct
0.000 0.000 0.000
0.500 0.500 0.500
0.000 0.000 0.500
0.000 0.500 0.000
0.500 0.000 0.000
```

Calculated values
* M_tot: 0.00 Bohr magnetons per cell
* energy above the most stable polymorph in this dataset: 0 meV per atom
* crystal system: cubic

=====

5.
Below is an optimized crystal structure of LiNd4Cd5, with properties calculated at the PBE-GGA level.

POSCAR file:
```
LiNd4Cd5
1.0
3.774 0.000 0.000
0.000 3.774 0.000
0.000 0.000 19.020
Li Nd Cd
1 4 5
direct
0.000 0.000 0.000
0.000 0.000 0.188
0.000 0.000 0.395
0.000 0.000 0.605
0.000 0.000 0.812
0.500 0.500 0.082
0.500 0.500 0.292
0.500 0.500 0.500
0.500 0.500 0.708
0.500 0.500 0.918
```

Calculated values
* M_tot: 0.02 Bohr magnetons per cell
* crystal system: tetragonal
* total energy: -2.84 eV/atom

=====

6.
Below is an optimized crystal structure of NdPaN2, with properties calculated at the PBE-GGA level.

POSCAR file:
```
NdPaN2
1.0
1.787 1.032 5.835
-1.787 1.032 5.835
0.000 -2.063 5.835
Nd Pa N
1 1 2
direct
0.000 0.000 0.000
0.500 0.500 0.500
0.237 0.237 0.237
0.763 0.763 0.763
```

Calculated values
* energy relative to the elements, uncorrected: -1.577 eV per atom
* M_tot: 0.00 Bohr magnetons per cell
* energy above the most stable polymorph in this dataset: 0 meV per atom
* crystal system: trigonal

=====

7.
Below is an optimized crystal structure of CdPRu2, with properties calculated at the PBE-GGA level.

POSCAR file:
```
CdPRu2
1.0
1.506 -2.506 0.000
1.506 2.506 0.000
0.000 0.000 8.263
Cd P Ru
1 1 2
direct
0.000 0.000 0.000
0.000 0.000 0.500
0.500 0.500 0.296
0.500 0.500 0.704
```

Calculated values
* M_tot: 0.00 Bohr magnetons per cell
* energy above the most stable polymorph in this dataset: 199 meV per atom
* crystal system: orthorhombic

=====

8.
Below is an optimized crystal structure of CaP2SeS, with properties calculated at the PBE-GGA level.

POSCAR file:
```
CaP2SeS
1.0
5.381 0.000 0.000
0.000 5.381 0.000
0.000 0.000 4.983
Ca P Se S
1 2 1 1
direct
0.000 0.000 0.000
0.000 0.500 0.000
0.500 0.000 0.000
0.500 0.500 0.500
0.000 0.000 0.500
```

Calculated values
* energy relative to the elements, uncorrected: 1.056 eV per atom
* M_tot: 0.51 Bohr magnetons per cell
* energy above the most stable polymorph in this dataset: 881 meV per atom
* crystal system: tetragonal

=====

Q: What is the M_tot in the eighth record?
A: 0.51 Bohr magnetons per cell